# PBE Sm3TmCl, relaxed
data_Sm3TmCl
_space_group_name_H-M_alt 'P m -3 m'
_space_group_IT_number 221
_space_group_name_Hall '-P 4 2 3'
_cell_length_a 5.3777
_cell_length_b 5.3777
_cell_length_c 5.3777
_cell_angle_alpha 90.00
_cell_angle_beta 90.00
_cell_angle_gamma 90.00
loop_
_atom_site_label
_atom_site_type_symbol
_atom_site_fract_x
_atom_site_fract_y
_atom_site_fract_z
Sm1 Sm 0.0000 0.0000 0.5000
Tm1 Tm 0.5000 0.5000 0.5000
Cl1 Cl 0.0000 0.0000 0.0000
# - Electronic total energy: -22.834 eV/cell
# - Raw formation energy: -0.472 eV/atom
# - Calculated volume: 31.10 Å³/atom